# 1
This record from Alexandria describes crystalline ScFe2Cu2 at its relaxed geometry. The functional is PBE-GGA.

Unit cell a=3.6972 b=3.6972 c=5.9273 alpha=71.83 beta=71.83 gamma=90.00
With the nearest neighbours (Å) after each atom.
Element x y z (fractional)
Cu 0.2500 0.7500 0.5000  4 Fe 2.43, 4 Cu 2.61
Sc 0.0000 0.0000 0.0000  8 Fe 2.83
Fe 0.6011 0.6011 0.7977  1 Fe 2.15
Cu 0.7500 0.2500 0.5000  4 Fe 2.43, 4 Cu 2.61
Fe 0.3989 0.3989 0.2023  1 Fe 2.15

Results
* crystal system: tetragonal
* energy relative to the elements: 139 meV/atom
* symmetry: No. 139
* final energy: -6.15 eV per atom
* excess energy over the best structure of this formula in the dataset: 0.0244 eV/atom

=====

# 2
This record from Alexandria describes crystalline Sc6FeCu5 at its relaxed geometry. The functional is PBE-GGA.

Unit cell a=4.5711 b=6.4872 c=7.9150 alpha=114.19 beta=106.78 gamma=90.00
With the nearest neighbours (Å) after each atom.
Element x y z (fractional)
Cu 0.3334 0.8334 0.6669  8 Sc 2.76-2.87
Sc 0.5000 0.2391 0.0000  6 Cu 2.76-2.84, 2 Fe 2.76
Sc 0.1622 0.4063 0.3245  1 Fe 2.73, 7 Cu 2.77-2.87
Cu 0.0000 0.5000 0.0000  8 Sc 2.77-2.84
Sc 0.5000 0.7609 0.0000  6 Cu 2.76-2.84, 2 Fe 2.76
Sc 0.8378 0.5937 0.6755  1 Fe 2.73, 7 Cu 2.77-2.87
Cu 0.6666 0.1666 0.3331  8 Sc 2.76-2.87
Fe 0.0000 0.0000 0.0000  8 Sc 2.73-2.76
Cu 0.6657 0.6657 0.3314  8 Sc 2.83-2.84
Cu 0.3343 0.3343 0.6686  8 Sc 2.83-2.84
Sc 0.8378 0.0818 0.6755  1 Fe 2.73, 7 Cu 2.77-2.87
Sc 0.1622 0.9182 0.3245  1 Fe 2.73, 7 Cu 2.77-2.87

Results
* crystal system: orthorhombic
* energy relative to the elements: -248 meV/atom
* symmetry: No. 71
* final energy: -5.83 eV per atom

=====

# 3
This record from Alexandria describes crystalline Sc4FeCu at its relaxed geometry. The functional is PBE-GGA.

Unit cell a=5.5879 b=5.5879 c=5.5879 alpha=60.00 beta=60.00 gamma=60.00
With the nearest neighbours (Å) after each atom.
Element x y z (fractional)
Sc 0.8764 0.3745 0.3745  6 Sc 2.78-2.80
Sc 0.3745 0.3745 0.3745  6 Sc 2.78-2.80
Fe 0.0000 0.0000 0.0000  12 Sc 3.28, 4 Cu 3.42
Sc 0.3745 0.3745 0.8764  6 Sc 2.78-2.80
Sc 0.3745 0.8764 0.3745  6 Sc 2.78-2.80
Cu 0.7500 0.7500 0.7500  12 Sc 3.28, 4 Fe 3.42

Results
* crystal system: cubic
* energy relative to the elements: 659 meV/atom
* symmetry: No. 216
* final energy: -5.66 eV per atom
* excess energy over the best structure of this formula in the dataset: 0.7835 eV/atom

=====

# 4
This record from Alexandria describes crystalline ScFe4Cu at its relaxed geometry. The functional is PBE-GGA.

Unit cell a=4.8074 b=4.8074 c=4.8074 alpha=60.00 beta=60.00 gamma=60.00
With the nearest neighbours (Å) after each atom.
Element x y z (fractional)
Fe 0.3746 0.8763 0.3746  6 Fe 2.40-2.41
Cu 0.0000 0.0000 0.0000  12 Fe 2.82, 4 Sc 2.94
Fe 0.3746 0.3746 0.3746  6 Fe 2.40-2.41
Sc 0.7500 0.7500 0.7500  12 Fe 2.82, 4 Cu 2.94
Fe 0.3746 0.3746 0.8763  6 Fe 2.40-2.41
Fe 0.8763 0.3746 0.3746  6 Fe 2.40-2.41

Results
* crystal system: cubic
* energy relative to the elements: -20 meV/atom
* symmetry: No. 216
* final energy: -7.40 eV per atom

=====

# 5
This record from Alexandria describes crystalline Sc2FeCu at its relaxed geometry. The functional is PBE-GGA.

Unit cell a=4.0640 b=4.0640 c=9.3681 alpha=77.47 beta=77.47 gamma=90.00
With the nearest neighbours (Å) after each atom.
Element x y z (fractional)
Cu 0.0000 0.0000 0.0000  4 Sc 2.66, 4 Fe 2.87
Sc 0.1306 0.6250 0.2500  2 Fe 2.64, 2 Cu 2.66, 4 Sc 2.84-2.91
Sc 0.8750 0.8694 0.7500  2 Fe 2.64, 2 Cu 2.66, 4 Sc 2.84-2.91
Cu 0.7500 0.2500 0.5000  4 Sc 2.66, 4 Fe 2.87
Fe 0.5000 0.5000 0.0000  4 Sc 2.64, 4 Cu 2.87
Fe 0.2500 0.7500 0.5000  4 Sc 2.64, 4 Cu 2.87
Sc 0.6194 0.1250 0.2500  2 Fe 2.64, 2 Cu 2.66, 4 Sc 2.84-2.91
Sc 0.3750 0.3806 0.7500  2 Fe 2.64, 2 Cu 2.66, 4 Sc 2.84-2.91

Results
* crystal system: tetragonal
* energy relative to the elements: 516 meV/atom
* symmetry: No. 122
* final energy: -5.79 eV per atom
* excess energy over the best structure of this formula in the dataset: 0.7185 eV/atom

=====

# 6
This record from Alexandria describes crystalline Sc8FeCu2 at its relaxed geometry. The functional is PBE-GGA.

Unit cell a=4.7126 b=7.7296 c=7.5230 alpha=120.91 beta=108.24 gamma=90.00
With the nearest neighbours (Å) after each atom.
Element x y z (fractional)
Cu 0.7937 0.2936 0.5873  8 Sc 2.72-3.01
Sc 0.6511 0.4247 0.3022  3 Cu 2.72-3.01, 1 Fe 2.79, 2 Sc 3.01
Sc 0.0000 0.3356 0.0001  1 Sc 2.54, 2 Cu 2.79
Sc 0.6511 0.8774 0.3021  3 Cu 2.72-3.01, 1 Fe 2.79, 2 Sc 3.01
Sc 0.3489 0.1226 0.6979  3 Cu 2.72-3.01, 1 Fe 2.79, 2 Sc 3.01
Sc 0.3489 0.5753 0.6978  3 Cu 2.72-3.01, 1 Fe 2.79, 2 Sc 3.01
Sc 0.1262 0.1262 0.2524  2 Fe 2.80, 3 Sc 3.00-3.03, 2 Cu 3.10
Sc 0.0000 0.6644 0.9999  1 Sc 2.54, 2 Cu 2.79
Fe 0.5000 0.0000 0.0000  8 Sc 2.79-2.80
Cu 0.2063 0.7064 0.4127  8 Sc 2.72-3.01
Sc 0.8738 0.8738 0.7476  2 Fe 2.80, 3 Sc 3.00-3.03, 2 Cu 3.10

Results
* crystal system: orthorhombic
* energy relative to the elements: -16 meV/atom
* symmetry: No. 71
* final energy: -6.13 eV per atom
* excess energy over the best structure of this formula in the dataset: 0.1378 eV/atom

=====

# 7
This record from Alexandria describes crystalline ScFeCu2 at its relaxed geometry. The functional is PBE-GGA.

Unit cell a=4.7628 b=4.7628 c=4.7628 alpha=133.31 beta=133.52 gamma=68.01
With the nearest neighbours (Å) after each atom.
Element x y z (fractional)
Cu 0.4996 0.4996 0.0000  4 Cu 2.66, 4 Fe 2.72-2.73, 4 Sc 2.73
Fe 0.7500 0.2500 0.5000  4 Sc 2.66, 8 Cu 2.72-2.73
Cu 0.0004 0.0004 0.0000  4 Cu 2.66, 4 Fe 2.72-2.73, 4 Sc 2.73
Sc 0.2500 0.7500 0.5000  4 Fe 2.66, 8 Cu 2.73

Results
* crystal system: orthorhombic
* energy relative to the elements: -23 meV/atom
* symmetry: No. 71
* final energy: -5.77 eV per atom

=====

# 8
This record from Alexandria describes crystalline ScFeCu2 at its relaxed geometry. The functional is PBE-GGA.

Unit cell a=3.5909 b=3.5909 c=9.6369 alpha=79.26 beta=79.26 gamma=90.00
With the nearest neighbours (Å) after each atom.
Element x y z (fractional)
Fe 0.7500 0.2500 0.5000  4 Sc 2.54, 4 Cu 2.62
Sc 0.2500 0.7500 0.5000  4 Fe 2.54, 4 Cu 2.68
Fe 0.0000 0.0000 0.0000  4 Sc 2.54, 4 Cu 2.62
Sc 0.5000 0.5000 0.0000  4 Fe 2.54, 4 Cu 2.68
Cu 0.8750 0.8988 0.7500  4 Cu 2.42-2.66, 2 Fe 2.62, 2 Sc 2.68
Cu 0.1012 0.6250 0.2500  4 Cu 2.42-2.66, 2 Fe 2.62, 2 Sc 2.68
Cu 0.3750 0.3512 0.7500  4 Cu 2.42-2.66, 2 Fe 2.62, 2 Sc 2.68
Cu 0.6488 0.1250 0.2500  4 Cu 2.42-2.66, 2 Fe 2.62, 2 Sc 2.68

Results
* crystal system: tetragonal
* energy relative to the elements: 314 meV/atom
* symmetry: No. 122
* final energy: -5.43 eV per atom

=====

# 9
This record from Alexandria describes crystalline ScFeCu2 at its relaxed geometry. The functional is PBE-GGA.

Unit cell a=8.8692 b=8.8692 c=8.8692 alpha=18.03 beta=18.03 gamma=18.03
With the nearest neighbours (Å) after each atom.
Element x y z (fractional)
Cu 0.5061 0.5061 0.5061  3 Fe 2.58, 6 Cu 2.78, 3 Sc 2.84
Fe 0.2500 0.2500 0.2500  6 Cu 2.58, 6 Fe 2.78
Cu 0.9939 0.9939 0.9939  3 Fe 2.58, 6 Cu 2.78, 3 Sc 2.84
Sc 0.7500 0.7500 0.7500  6 Sc 2.78, 6 Cu 2.84

Results
* crystal system: trigonal
* energy relative to the elements: 284 meV/atom
* symmetry: No. 166
* final energy: -5.46 eV per atom

=====

# 10
This record from Alexandria describes crystalline Sc2FeCu at its relaxed geometry. The functional is PBE-GGA.

Unit cell a=5.2144 b=5.2144 c=4.6948 alpha=74.35 beta=74.35 gamma=33.72
With the nearest neighbours (Å) after each atom.
Element x y z (fractional)
Fe 0.7725 0.7725 0.7820  2 Cu 2.61, 7 Sc 2.79-2.83
Sc 0.0231 0.0231 0.9360  4 Cu 2.79-2.87, 3 Fe 2.79-2.83, 4 Sc 3.02-3.09
Cu 0.4747 0.4747 0.4761  2 Fe 2.61, 7 Sc 2.78-2.87
Sc 0.2298 0.2298 0.3059  3 Cu 2.78-2.87, 4 Fe 2.82-2.83, 4 Sc 3.02-3.09

Results
* crystal system: monoclinic
* energy relative to the elements: -45 meV/atom
* symmetry: No. 8
* final energy: -6.35 eV per atom
* excess energy over the best structure of this formula in the dataset: 0.1569 eV/atom

=====

# 11
This record from Alexandria describes crystalline Sc3FeCu at its relaxed geometry. The functional is PBE-GGA.

Unit cell a=4.8155 b=4.8155 c=4.8155 alpha=90.00 beta=90.00 gamma=90.00
With the nearest neighbours (Å) after each atom.
Element x y z (fractional)
Fe 0.5000 0.5000 0.5000  12 Sc 3.41
Sc 0.5000 0.0000 0.0000  2 Cu 2.41
Sc 0.0000 0.5000 0.0000  2 Cu 2.41
Cu 0.0000 0.0000 0.0000  6 Sc 2.41
Sc 0.0000 0.0000 0.5000  2 Cu 2.41

Results
* crystal system: cubic
* energy relative to the elements: 728 meV/atom
* symmetry: No. 221
* final energy: -5.58 eV per atom
* excess energy over the best structure of this formula in the dataset: 0.5495 eV/atom

=====

# 12
This record from Alexandria describes crystalline ScFe2Cu2 at its relaxed geometry. The functional is PBE-GGA.

Unit cell a=7.1137 b=7.1137 c=2.7474 alpha=90.00 beta=90.00 gamma=90.00
With the nearest neighbours (Å) after each atom.
Element x y z (fractional)
Cu 0.6236 0.1236 0.0000  6 Fe 2.47-2.53, 3 Cu 2.49-2.75
Sc 0.0000 0.0000 0.0000  2 Sc 2.75, 4 Cu 2.82, 8 Fe 2.97
Fe 0.6718 0.8282 0.5000  6 Cu 2.47-2.53, 2 Fe 2.75
Cu 0.1236 0.3764 0.0000  6 Fe 2.47-2.53, 3 Cu 2.49-2.75
Fe 0.3282 0.1718 0.5000  6 Cu 2.47-2.53, 2 Fe 2.75
Cu 0.3764 0.8764 0.0000  6 Fe 2.47-2.53, 3 Cu 2.49-2.75
Cu 0.8764 0.6236 0.0000  6 Fe 2.47-2.53, 3 Cu 2.49-2.75
Sc 0.5000 0.5000 0.0000  2 Sc 2.75, 4 Cu 2.82, 8 Fe 2.97
Fe 0.8282 0.3282 0.5000  6 Cu 2.47-2.53, 2 Fe 2.75
Fe 0.1718 0.6718 0.5000  6 Cu 2.47-2.53, 2 Fe 2.75

Results
* crystal system: tetragonal
* energy relative to the elements: 169 meV/atom
* symmetry: No. 127
* final energy: -6.12 eV per atom
* excess energy over the best structure of this formula in the dataset: 0.0547 eV/atom

=====

# 13
This record from Alexandria describes crystalline ScFeCu2 at its relaxed geometry. The functional is PBE-GGA.

Unit cell a=4.7270 b=4.7270 c=4.7270 alpha=132.78 beta=132.72 gamma=69.04
With the nearest neighbours (Å) after each atom.
Element x y z (fractional)
Sc 0.2501 0.7501 0.5000  8 Cu 2.68-2.72, 4 Fe 2.72
Cu 0.7499 0.2499 0.5000  4 Sc 2.68, 4 Fe 2.72, 4 Cu 2.72
Fe 0.5000 0.5000 0.0000  8 Cu 2.68-2.72, 4 Sc 2.72
Cu 0.0000 0.0000 0.0000  4 Fe 2.68, 4 Sc 2.72, 4 Cu 2.72

Results
* crystal system: tetragonal
* energy relative to the elements: 13 meV/atom
* symmetry: No. 119
* final energy: -5.73 eV per atom